DFT (PBE) results for a relaxed structure of KNdBiAu.

a = 5.545 Å, b = 5.545 Å, c = 5.545 Å
α = 60.00°, β = 60.00°, γ = 60.00°
Element x y z (fractional)
K  0.000  0.000  0.000
Nd  0.500  0.500  0.500
Bi  0.250  0.250  0.250
Au  0.750  0.750  0.750

Results
volume = 30.14 Å³/atom
calculated density = 8.1 g/cm3
total magnetic moment = 0.00 μB/atom
final energy = -3.754 eV/atom
formation energy from the elements = -498 meV/atom
symmetry = F-43m